Record 1
DFT (PBE) results for an optimized crystal structure of Sm3Ho5Tm.

Calculated values
- DFT formation energy (eV/f.u.) = 1.500
- V (A^3/atom) = 32.58
- magnetic moment (μB/f.u.) = 0.00

The structure in CIF format:
```
data_Sm3Ho5Tm
_chemical_formula_sum 'Sm12 Ho20 Tm4'
_space_group_name_H-M_alt 'C 1 2/c 1'
_space_group_IT_number 15
_cell_length_a 16.398
_cell_length_b 6.685
_cell_length_c 11.343
_cell_angle_alpha 90.00
_cell_angle_beta 109.41
_cell_angle_gamma 90.00
loop_
_space_group_symop_operation_xyz
'x,y,z'
'-x,-y,-z'
'-x,y,-z+1/2'
'x,-y,z+1/2'
'x+1/2,y+1/2,z'
'-x+1/2,-y+1/2,-z'
'-x+1/2,y+1/2,-z+1/2'
'x+1/2,-y+1/2,z+1/2'
loop_
_atom_site_label
_atom_site_type_symbol
_atom_site_fract_x
_atom_site_fract_y
_atom_site_fract_z
Sm1 Sm 0.000 0.000 0.000
Sm2 Sm 0.237 0.375 0.355
Ho1 Ho 0.000 0.318 0.750
Ho2 Ho 0.107 0.496 0.545
Ho3 Ho 0.176 0.120 0.873
Tm1 Tm 0.000 0.226 0.250
```

=====

Record 2
DFT (PBE) results for an optimized crystal structure of Pm6PrHg.

Calculated values
- DFT formation energy (eV/f.u.) = -0.469
- V (A^3/atom) = 32.29
- magnetic moment (μB/f.u.) = 0.00

The structure in CIF format:
```
data_Pm6PrHg
_chemical_formula_sum 'Pm6 Pr1 Hg1'
_space_group_name_H-M_alt 'P 4/m m m'
_space_group_IT_number 123
_space_group_name_Hall '-P 4 2'
_cell_length_a 5.005
_cell_length_b 5.005
_cell_length_c 10.311
_cell_angle_alpha 90.00
_cell_angle_beta 90.00
_cell_angle_gamma 90.00
loop_
_atom_site_label
_atom_site_type_symbol
_atom_site_fract_x
_atom_site_fract_y
_atom_site_fract_z
Pm1 Pm 0.000 0.000 0.000
Pm2 Pm 0.000 0.000 0.500
Pm3 Pm 0.000 0.500 0.241
Pr1 Pr 0.500 0.500 0.500
Hg1 Hg 0.500 0.500 0.000
```

=====

Record 3
DFT (PBE) results for an optimized crystal structure of LiAuBr2.

Calculated values
- V (A^3/atom) = 27.81
- formation energy (no corrections) (eV/atom) = -0.781
- magnetic moment (μB/f.u.) = 0.00

The structure in CIF format:
```
data_LiAuBr2
_chemical_formula_sum 'Li3 Au3 Br6'
_space_group_name_H-M_alt 'R -3 m'
_space_group_IT_number 166
_space_group_name_Hall '-R 3 2"'
_cell_length_a 4.0919
_cell_length_b 4.0919
_cell_length_c 23.0107
_cell_angle_alpha 90.00
_cell_angle_beta 90.00
_cell_angle_gamma 120.00
loop_
_atom_site_label
_atom_site_type_symbol
_atom_site_fract_x
_atom_site_fract_y
_atom_site_fract_z
Li1 Li 0.0000 0.0000 0.0000
Au1 Au 0.0000 0.0000 0.5000
Br1 Br 0.0000 0.0000 0.3943
```

=====

Record 4
DFT (PBE) results for an optimized crystal structure of HfFeP.

Calculated values
- DFT formation energy (eV/f.u.) = -3.135
- V (A^3/atom) = 13.64
- magnetic moment (μB/f.u.) = 0.00

The structure in CIF format:
```
data_HfFeP
_chemical_formula_sum 'Hf4 Fe4 P4'
_space_group_name_H-M_alt 'P n m a'
_space_group_IT_number 62
_cell_length_a 6.239
_cell_length_b 3.734
_cell_length_c 7.025
_cell_angle_alpha 90.00
_cell_angle_beta 90.00
_cell_angle_gamma 90.00
loop_
_space_group_symop_operation_xyz
'x,y,z'
'-x,-y,-z'
'-x+1/2,-y,z+1/2'
'x+1/2,y,-z+1/2'
'x+1/2,-y+1/2,-z+1/2'
'-x+1/2,y+1/2,z+1/2'
'-x,y+1/2,-z'
'x,-y+1/2,z'
loop_
_atom_site_label
_atom_site_type_symbol
_atom_site_fract_x
_atom_site_fract_y
_atom_site_fract_z
Hf1 Hf 0.017 0.250 0.185
Fe1 Fe 0.149 0.250 0.562
P1 P 0.219 0.750 0.385
```

=====

Record 5
DFT (PBE) results for an optimized crystal structure of CaRhF2.

Calculated values
- V (A^3/atom) = 14.11
- formation energy (no corrections) (eV/atom) = -1.531
- magnetic moment (μB/f.u.) = 1.15

The structure in CIF format:
```
data_CaRhF2
_chemical_formula_sum 'Ca4 Rh4 F8'
_space_group_name_H-M_alt 'F m -3 m'
_space_group_IT_number 225
_space_group_name_Hall '-F 4 2 3'
_cell_length_a 6.089
_cell_length_b 6.089
_cell_length_c 6.089
_cell_angle_alpha 90.00
_cell_angle_beta 90.00
_cell_angle_gamma 90.00
loop_
_atom_site_label
_atom_site_type_symbol
_atom_site_fract_x
_atom_site_fract_y
_atom_site_fract_z
Ca1 Ca 0.000 0.000 0.000
Rh1 Rh 0.000 0.000 0.500
F1 F 0.250 0.250 0.250
```

=====

Record 6
DFT (PBE) results for an optimized crystal structure of MgPaTi.

Calculated values
- DFT formation energy (eV/f.u.) = 0.380
- V (A^3/atom) = 21.72
- magnetic moment (μB/f.u.) = 0.00

The structure in CIF format:
```
data_MgPaTi
_chemical_formula_sum 'Mg2 Pa2 Ti2'
_space_group_name_H-M_alt 'I 4 m m'
_space_group_IT_number 107
_space_group_name_Hall 'I 4 -2'
_cell_length_a 2.983
_cell_length_b 2.983
_cell_length_c 14.641
_cell_angle_alpha 90.00
_cell_angle_beta 90.00
_cell_angle_gamma 90.00
loop_
_atom_site_label
_atom_site_type_symbol
_atom_site_fract_x
_atom_site_fract_y
_atom_site_fract_z
Mg1 Mg 0.000 0.000 0.000
Pa1 Pa 0.000 0.000 0.312
Ti1 Ti 0.000 0.000 0.658
```

=====

Please write out number 1 again, unchanged.
DFT (PBE) results for an optimized crystal structure of Sm3Ho5Tm.

Calculated values
- DFT formation energy (eV/f.u.) = 1.500
- V (A^3/atom) = 32.58
- magnetic moment (μB/f.u.) = 0.00

The structure in CIF format:
```
data_Sm3Ho5Tm
_chemical_formula_sum 'Sm12 Ho20 Tm4'
_space_group_name_H-M_alt 'C 1 2/c 1'
_space_group_IT_number 15
_cell_length_a 16.398
_cell_length_b 6.685
_cell_length_c 11.343
_cell_angle_alpha 90.00
_cell_angle_beta 109.41
_cell_angle_gamma 90.00
loop_
_space_group_symop_operation_xyz
'x,y,z'
'-x,-y,-z'
'-x,y,-z+1/2'
'x,-y,z+1/2'
'x+1/2,y+1/2,z'
'-x+1/2,-y+1/2,-z'
'-x+1/2,y+1/2,-z+1/2'
'x+1/2,-y+1/2,z+1/2'
loop_
_atom_site_label
_atom_site_type_symbol
_atom_site_fract_x
_atom_site_fract_y
_atom_site_fract_z
Sm1 Sm 0.000 0.000 0.000
Sm2 Sm 0.237 0.375 0.355
Ho1 Ho 0.000 0.318 0.750
Ho2 Ho 0.107 0.496 0.545
Ho3 Ho 0.176 0.120 0.873
Tm1 Tm 0.000 0.226 0.250
```